An optimized crystal structure of BeTc2BiCl, computed with PBE.

Structure (POSCAR):
```
BeTc2BiCl
1.0
-0.371 3.993 2.331
-1.948 -2.256 3.555
3.502 -0.580 1.551
Be Cl Bi Tc
1 1 1 2
Direct
0.000 0.000 0.500
0.000 0.000 0.000
0.500 0.500 0.500
0.000 0.500 0.000
0.500 0.000 0.000
```

Properties
ΔE_f (raw) = 1.1028 eV/atom



An optimized crystal structure of BeBiW2Cl, computed with PBE.

Structure (POSCAR):
```
BeBiW2Cl
1.0
-3.974 1.967 -1.367
-2.003 -3.512 0.767
-0.800 1.406 4.349
Be Bi W Cl
1 1 2 1
Direct
0.000 0.000 0.000
0.500 0.500 0.500
0.000 0.000 0.500
0.500 0.000 0.000
0.000 0.500 0.000
```

Properties
ΔE_f (raw) = 1.4088 eV/atom



An optimized crystal structure of BeCo3Bi, computed with PBE.

Structure (POSCAR):
```
BeCo3Bi
1.0
-1.026 -0.877 -3.811
1.061 -3.855 0.602
-3.764 -0.847 1.209
Be Co Bi
1 3 1
Direct
0.000 0.000 0.000
0.000 0.500 0.000
0.000 0.000 0.500
0.500 0.000 0.000
0.500 0.500 0.500
```

Properties
ΔH_f (0 K) = 0.409 eV per atom



An optimized crystal structure of BeCo3Bi, computed with PBE.

Structure (POSCAR):
```
BeCo3Bi
1.0
4.741 0.000 0.000
0.000 4.741 0.000
0.000 0.000 4.741
Be Co Bi
1 3 1
Direct
0.500 0.500 0.500
0.000 0.500 0.000
0.000 0.000 0.500
0.500 0.000 0.000
0.000 0.000 0.000
```

Properties
ΔH_f (0 K) = 1.872 eV per atom



An optimized crystal structure of BeCoBi2, computed with PBE.

Structure (POSCAR):
```
BeCoBi2
1.0
5.912 0.000 0.000
0.000 5.912 0.000
2.956 2.956 5.792
Be Co Bi
2 2 4
Direct
0.500 0.500 0.000
0.250 0.750 0.500
0.000 0.000 0.000
0.750 0.250 0.500
0.625 0.125 0.250
0.125 0.625 0.250
0.375 0.375 0.750
0.875 0.875 0.750
```

Properties
ΔH_f (0 K) = 0.643 eV per atom



An optimized crystal structure of BeCo2Bi, computed with PBE.

Structure (POSCAR):
```
BeCo2Bi
1.0
-0.303 2.828 3.140
-2.347 3.490 -0.512
-3.644 0.432 2.118
Be Co Bi
1 2 1
Direct
0.000 0.000 0.000
0.250 0.250 0.250
0.750 0.750 0.750
0.500 0.500 0.500
```

Properties
ΔH_f (0 K) = 0.371 eV per atom



An optimized crystal structure of BeCo2Bi, computed with PBE.

Structure (POSCAR):
```
BeCo2Bi
1.0
-2.050 -0.520 3.492
-3.037 -1.799 -2.051
0.898 -8.092 1.707
Be Co Bi
2 4 2
Direct
0.500 0.500 0.000
0.250 0.750 0.500
0.490 0.125 0.250
0.260 0.625 0.250
0.375 0.510 0.750
0.875 0.740 0.750
0.000 0.000 0.000
0.750 0.250 0.500
```

Properties
ΔH_f (0 K) = 0.543 eV per atom



An optimized crystal structure of BeCo2Bi2, computed with PBE.

Structure (POSCAR):
```
BeCo2Bi2
1.0
-5.428 3.504 0.691
-2.911 -5.069 2.837
1.304 1.299 3.659
Be Co Bi
2 4 4
Direct
0.000 0.000 0.000
0.500 0.500 0.000
0.358 0.858 0.000
0.858 0.642 0.000
0.642 0.142 0.000
0.142 0.358 0.000
0.173 0.673 0.500
0.673 0.827 0.500
0.827 0.327 0.500
0.327 0.173 0.500
```

Properties
ΔH_f (0 K) = 0.491 eV per atom



Which D(E_F) belongs to each record? In order, 0.955, 0.985, 0.630, 2.092, 0.789, 0.434, 0.888, 0.987 states/eV/atom.